No. 1
The following is a DFT calculation (PBE-GGA) of a geometry-optimized PmSm2DyMg structure.

a = 5.9632 Å, b = 7.4538 Å, c = 7.2702 Å
α = 90.00°, β = 90.00°, γ = 90.00°
Element x y z (fractional)
1 Pm 0.2500 0.0000 0.1599
2 Pm 0.7500 0.0000 0.8401
3 Sm 0.2500 0.2169 0.6891
4 Sm 0.2500 0.7831 0.6891
5 Sm 0.7500 0.2169 0.3109
6 Sm 0.7500 0.7831 0.3109
7 Dy 0.2500 0.5000 0.3723
8 Dy 0.7500 0.5000 0.6277
9 Mg 0.0000 0.5000 0.0000
10 Mg 0.5000 0.5000 0.0000

Properties
DOS(E_F)	15.817	states/eV per cell
energy of formation	0.168	eV/atom
theoretical density	6.50	Mg/m³



No. 2
The following is a DFT calculation (PBE-GGA) of a geometry-optimized PmSm2Dy5Mg structure.

a = 10.4088 Å, b = 10.4088 Å, c = 10.5659 Å
α = 90.00°, β = 90.00°, γ = 149.60°
Element x y z (fractional)
1 Pm 0.2061 0.7939 0.5000
2 Pm 0.7939 0.2061 0.0000
3 Sm 0.1151 0.8849 0.2100
4 Sm 0.1149 0.8851 0.7900
5 Sm 0.8851 0.1149 0.2900
6 Sm 0.8849 0.1151 0.7100
7 Dy 0.0136 0.9864 0.5000
8 Dy 0.2897 0.7103 0.7993
9 Dy 0.2907 0.7093 0.2005
10 Dy 0.3852 0.6148 0.4999
11 Dy 0.4996 0.5004 0.2492
12 Dy 0.5004 0.4996 0.7492
13 Dy 0.6148 0.3852 0.9999
14 Dy 0.7093 0.2907 0.7005
15 Dy 0.7103 0.2897 0.2993
16 Dy 0.9864 0.0136 0.0000
17 Mg 0.4057 0.5943 0.9982
18 Mg 0.5943 0.4057 0.4982

Properties
DOS(E_F)	25.531	states/eV per cell
energy of formation	0.099	eV/atom
theoretical density	7.35	Mg/m³



No. 3
The following is a DFT calculation (PBE-GGA) of a geometry-optimized Pm2Sm4DyMg structure.

a = 5.0387 Å, b = 5.0387 Å, c = 10.1768 Å
α = 90.00°, β = 90.00°, γ = 90.00°
Element x y z (fractional)
1 Pm 0.0000 0.0000 0.0000
2 Pm 0.5000 0.5000 0.5000
3 Sm 0.0000 0.5000 0.2478
4 Sm 0.0000 0.5000 0.7522
5 Sm 0.5000 0.0000 0.2478
6 Sm 0.5000 0.0000 0.7522
7 Dy 0.0000 0.0000 0.5000
8 Mg 0.5000 0.5000 0.0000

Properties
DOS(E_F)	11.525	states/eV per cell
energy of formation	0.015	eV/atom
theoretical density	6.93	Mg/m³



No. 4
The following is a DFT calculation (PBE-GGA) of a geometry-optimized Pm3Sm2Dy6Mg structure.

a = 6.1695 Å, b = 6.1695 Å, c = 11.8061 Å
α = 95.01°, β = 95.01°, γ = 120.03°
Element x y z (fractional)
1 Pm 0.0000 0.0000 0.0000
2 Pm 0.3340 0.6660 0.0000
3 Pm 0.6660 0.3340 0.0000
4 Sm 0.1664 0.8336 0.5000
5 Sm 0.8336 0.1664 0.5000
6 Dy 0.0862 0.4181 0.2525
7 Dy 0.2503 0.2503 0.7485
8 Dy 0.4181 0.0862 0.2525
9 Dy 0.5819 0.9138 0.7475
10 Dy 0.7497 0.7497 0.2515
11 Dy 0.9138 0.5819 0.7475
12 Mg 0.5000 0.5000 0.5000

Properties
DOS(E_F)	17.571	states/eV per cell
energy of formation	0.025	eV/atom
theoretical density	7.52	Mg/m³



No. 5
The following is a DFT calculation (PBE-GGA) of a geometry-optimized PmSm2Dy2Mg structure.

a = 10.0420 Å, b = 10.0420 Å, c = 10.0420 Å
α = 158.81°, β = 148.18°, γ = 38.55°
Element x y z (fractional)
1 Pm 0.0000 0.0000 0.0000
2 Sm 0.1870 0.6870 0.5000
3 Sm 0.8130 0.3130 0.5000
4 Dy 0.3679 0.8679 0.5000
5 Dy 0.6321 0.1321 0.5000
6 Mg 0.5000 0.5000 0.0000

Properties
DOS(E_F)	8.974	states/eV per cell
energy of formation	0.091	eV/atom
theoretical density	6.85	Mg/m³



No. 6
The following is a DFT calculation (PBE-GGA) of a geometry-optimized Pm4SmDy2Mg structure.

a = 5.0548 Å, b = 5.0548 Å, c = 10.0651 Å
α = 90.00°, β = 90.00°, γ = 90.00°
Element x y z (fractional)
1 Pm 0.0000 0.5000 0.2449
2 Pm 0.0000 0.5000 0.7551
3 Pm 0.5000 0.0000 0.2449
4 Pm 0.5000 0.0000 0.7551
5 Sm 0.0000 0.0000 0.5000
6 Dy 0.0000 0.0000 0.0000
7 Dy 0.5000 0.5000 0.5000
8 Mg 0.5000 0.5000 0.0000

Properties
DOS(E_F)	10.249	states/eV per cell
energy of formation	0.008	eV/atom
theoretical density	6.97	Mg/m³